First-principles (GGA-PBE) data for CdCo2Ru after structural relaxation, as listed in Alexandria via LeMat-Bulk.

POSCAR file:
```
CdCo2Ru
1.0
4.5818 0.0132 -0.0073
-1.2041 4.4208 -0.0073
0.0021 0.0028 2.7320
Cd Co Ru
1 2 1
Cartesian
-0.6010 2.2118 1.3624
0.0000 0.0000 0.0000
1.6889 2.2170 -0.0073
2.2919 0.0080 1.3624
```

formation enthalpy at 0 K = 402 meV per atom
magnetization = 3.63 μB/cell
uncorrected energy = -5.6985 eV per atom